(1)
Crystalline SrBeRe2 at its relaxed geometry. Source: the Alexandria database, functional PBE.

Geometry as POSCAR:
```
SrBeRe2
1.0
5.497 -0.001 0.000
2.784 4.739 0.000
-4.140 -2.369 2.731
Re Sr Be
2 1 1
direct
0.000 0.000 0.000
0.500 0.500 0.000
0.250 0.750 0.500
0.750 0.250 0.500
```

Properties
The formation energy is 1217 meV/atom. As for the density of states at the Fermi level: 0.66 states/eV/atom. For the total magnetization, the calculation gives 0.00 μB per formula unit. The final energy is -25.4 eV for the cell shown.

=====

(2)
Crystalline MoSe2Br at its relaxed geometry. Source: the Alexandria database, functional PBE.

Geometry as POSCAR:
```
MoSe2Br
1.0
2.020 0.000 8.680
-1.010 1.749 8.680
-1.010 -1.749 8.680
Se Mo Br
2 1 1
direct
0.895 0.895 0.895
0.105 0.105 0.105
0.500 0.500 0.500
0.000 0.000 0.000
```

Properties
For the energy above the lowest structure with this stoichiometry, the calculation gives 121 meV per atom. As for the density of states at the Fermi level: 0.99 states/eV/atom. For the total magnetization, the calculation gives 0.00 μB per formula unit. The final energy is -20.1 eV for the cell shown.

=====

(3)
Crystalline MgCrPd at its relaxed geometry. Source: the Alexandria database, functional PBE.

Geometry as POSCAR:
```
MgCrPd
1.0
2.804 0.001 -0.006
-0.002 7.233 -0.001
-0.120 0.000 4.590
Pd Cr Mg
2 2 2
direct
0.438 0.946 0.414
0.438 0.372 0.914
0.842 0.676 0.115
0.034 0.676 0.713
0.937 0.041 0.914
0.938 0.306 0.414
```

Properties
The formation energy is -37 meV/atom. As for the density of states at the Fermi level: 0.72 states/eV/atom. For the total magnetization, the calculation gives 0.00 μB per formula unit. The final energy is -33.0 eV for the cell shown.

=====

(4)
Crystalline Cd5In12Sn2 at its relaxed geometry. Source: the Alexandria database, functional PBE.

Geometry as POSCAR:
```
Cd5In12Sn2
1.0
-3.970 -8.031 -1.953
4.471 4.391 -5.620
5.710 -4.126 5.362
In Cd Sn
12 5 2
direct
0.582 0.759 0.468
0.969 0.937 0.805
0.031 0.063 0.195
0.522 0.043 0.752
0.894 0.454 0.138
0.440 0.546 0.862
0.418 0.241 0.532
0.822 0.241 0.532
0.178 0.759 0.468
0.478 0.957 0.248
0.560 0.454 0.138
0.106 0.546 0.862
0.771 0.543 0.469
0.000 0.000 0.500
0.241 0.482 0.162
0.229 0.457 0.531
0.759 0.518 0.838
0.716 0.000 0.000
0.284 0.000 0.000
```

Properties
The formation energy is 84 meV/atom. For the energy above the lowest structure with this stoichiometry, the calculation gives 32 meV per atom. As for the density of states at the Fermi level: 0.43 states/eV/atom. For the total magnetization, the calculation gives 0.00 μB per formula unit. The final energy is -43.9 eV for the cell shown.

=====

(5)
Crystalline Ba3NdTc2N6 at its relaxed geometry. Source: the Alexandria database, functional PBE.

Geometry as POSCAR:
```
Ba3NdTc2N6
1.0
6.340 0.000 0.000
-3.170 5.491 0.000
0.000 0.000 7.396
Ba Tc N Nd
3 2 6 1
direct
0.667 0.333 0.291
0.333 0.667 0.709
0.000 0.000 0.000
0.667 0.333 0.762
0.333 0.667 0.238
0.655 0.828 0.288
0.345 0.172 0.712
0.172 0.345 0.288
0.828 0.655 0.712
0.172 0.828 0.288
0.828 0.172 0.712
0.000 0.000 0.500
```

Properties
As for the density of states at the Fermi level: 0.39 states/eV/atom. For the total magnetization, the calculation gives 0.00 μB per formula unit. The final energy is -89.3 eV for the cell shown.

=====

(6)
Crystalline AcPr2Lu at its relaxed geometry. Source: the Alexandria database, functional PBE.

Geometry as POSCAR:
```
AcPr2Lu
1.0
3.644 0.000 0.000
1.822 3.156 0.000
1.822 1.052 12.887
Pr Ac Lu
2 1 1
direct
0.087 0.087 0.740
0.913 0.913 0.260
0.500 0.500 0.500
0.000 0.000 0.000
```

Properties
The formation energy is 238 meV/atom. For the energy above the lowest structure with this stoichiometry, the calculation gives 206 meV per atom. As for the density of states at the Fermi level: 1.43 states/eV/atom. For the total magnetization, the calculation gives 0.00 μB per formula unit. The final energy is -17.2 eV for the cell shown.

=====

(7)
Crystalline Tl2RuPb at its relaxed geometry. Source: the Alexandria database, functional PBE.

Geometry as POSCAR:
```
Tl2RuPb
1.0
10.207 -0.028 -0.016
9.647 3.336 -0.016
9.647 1.607 2.923
Ru Pb Tl
1 1 2
direct
0.750 0.750 0.750
0.482 0.482 0.482
0.015 0.015 0.015
0.253 0.253 0.253
```

Properties
The formation energy is 345 meV/atom. For the energy above the lowest structure with this stoichiometry, the calculation gives 51 meV per atom. As for the density of states at the Fermi level: 0.59 states/eV/atom. For the total magnetization, the calculation gives 0.00 μB per formula unit. The final energy is -16.3 eV for the cell shown.

=====

(8)
Crystalline LaBi2Pd2 at its relaxed geometry. Source: the Alexandria database, functional PBE.

Geometry as POSCAR:
```
LaBi2Pd2
1.0
8.490 0.000 0.000
0.000 8.490 0.000
0.000 0.000 3.368
Bi Pd La
4 4 2
direct
0.643 0.143 0.000
0.143 0.357 0.000
0.357 0.857 0.000
0.857 0.643 0.000
0.846 0.346 0.500
0.654 0.846 0.500
0.346 0.154 0.500
0.154 0.654 0.500
0.500 0.500 0.000
0.000 0.000 0.000
```

Properties
The formation energy is -406 meV/atom. As for the density of states at the Fermi level: 0.59 states/eV/atom. For the total magnetization, the calculation gives 0.46 μB per formula unit. The final energy is -50.2 eV for the cell shown.